Record 1
## Ba3LaNb3O12 (PBEsol)

Data for Ba3LaNb3O12 after structural relaxation.

Results
Its space group is No. 160. The formation energy (no corrections) comes out at -2.8946 eV per atom. For the density, the calculation gives 6.422 g/cm3. As for the density of states at the Fermi level: 0.0 states/eV per cell. The calculation puts the magnetization at 0.0 μB/f.u. The total energy comes out at -8.539 eV/atom.

POSCAR file:
```
Ba3LaNb3O12
1.0
-5.4197 -1.3843 1.3569
-1.0916 -2.9946 4.7928
-2.9954 6.3998 6.7727
Nb Ba La O
3 3 1 12
direct
0.0008 0.0008 0.9975
0.4250 0.4250 0.7251
0.5757 0.5757 0.2730
0.7116 0.7116 0.8653
0.8681 0.8681 0.3956
0.2895 0.2895 0.1315
0.1447 0.1447 0.5659
0.3731 0.8779 0.3759
0.6234 0.6234 0.6313
0.7909 0.7909 0.1291
0.2891 0.7909 0.1291
0.1218 0.6234 0.6313
0.7096 0.2056 0.8791
0.6234 0.1218 0.6313
0.7909 0.2891 0.1291
0.3731 0.3731 0.3759
0.2056 0.7096 0.8791
0.8779 0.3731 0.3759
0.2056 0.2056 0.8791
```

Record 2
## Ba2La3Ti2Nb2O15 (PBEsol)

Data for Ba2La3Ti2Nb2O15 after structural relaxation.

Results
Its space group is No. 165. The formation energy (no corrections) comes out at -3.1332 eV per atom. For the density, the calculation gives 6.325 g/cm3. As for the density of states at the Fermi level: 8.4 states/eV per cell. The calculation puts the magnetization at 1.0 μB/f.u. The total energy comes out at -8.857 eV/atom.

POSCAR file:
```
Ba2La3Ti2Nb2O15
1.0
5.6603 0.0000 0.0000
-2.8301 4.9019 0.0000
0.0000 0.0000 22.9536
O La Nb Ba Ti
30 6 4 4 4
direct
0.2093 0.3424 0.9392
0.6576 0.8670 0.9392
0.8670 0.2093 0.0608
0.2272 0.3254 0.1582
0.3424 0.1330 0.0608
0.6576 0.7907 0.4392
0.6746 0.7728 0.6582
0.8670 0.6576 0.5608
0.7907 0.6576 0.0608
0.0000 0.4385 0.2500
0.3254 0.2272 0.3418
0.2093 0.8670 0.4392
0.0981 0.7728 0.1582
0.2272 0.9019 0.6582
0.4385 0.0000 0.2500
0.0000 0.5615 0.7500
0.5615 0.0000 0.7500
0.9019 0.6746 0.3418
0.7728 0.0981 0.3418
0.4385 0.4385 0.7500
0.9019 0.2272 0.8418
0.0981 0.3254 0.6582
0.3424 0.2093 0.5608
0.7728 0.6746 0.8418
0.6746 0.9019 0.1582
0.7907 0.1330 0.5608
0.5615 0.5615 0.2500
0.1330 0.3424 0.4392
0.1330 0.7907 0.9392
0.3254 0.0981 0.8418
0.3333 0.6667 0.3552
0.6667 0.3333 0.1448
0.0000 0.0000 0.7500
0.3333 0.6667 0.8552
0.0000 0.0000 0.2500
0.6667 0.3333 0.6448
0.0000 0.0000 0.5982
0.0000 0.0000 0.0982
0.0000 0.0000 0.9018
0.0000 0.0000 0.4018
0.3333 0.6667 0.0369
0.6667 0.3333 0.9631
0.6667 0.3333 0.4631
0.3333 0.6667 0.5369
0.3333 0.6667 0.7034
0.3333 0.6667 0.2034
0.6667 0.3333 0.2966
0.6667 0.3333 0.7966
```

Record 3
## BaLaNiRuO6 (PBEsol)

Data for BaLaNiRuO6 after structural relaxation.

Results
Its space group is No. 82. The formation energy (no corrections) comes out at -1.9590 eV per atom. For the density, the calculation gives 7.239 g/cm3. As for the density of states at the Fermi level: 2.7 states/eV per cell. The calculation puts the magnetization at 4.9 μB/f.u. The total energy comes out at -7.491 eV/atom.

POSCAR file:
```
BaLaNiRuO6
1.0
5.5334 0.0000 0.0000
-2.7667 4.8519 -0.0032
0.0000 3.1583 4.5435
O Ru La Ba Ni
6 1 1 1 1
direct
0.5039 0.0079 0.9961
0.9961 0.9921 0.5039
0.5606 0.5328 0.4449
0.0223 0.4672 0.5606
0.9722 0.5328 0.0223
0.4449 0.4672 0.9722
0.7500 0.5000 0.7500
0.0000 0.0000 0.0000
0.5000 0.0000 0.5000
0.2500 0.5000 0.2500
```

Record 4
## BaLa2PtO5 (PBEsol)

Data for BaLa2PtO5 after structural relaxation.

Results
Its space group is No. 127. The formation energy (no corrections) comes out at -2.6867 eV per atom. For the density, the calculation gives 8.281 g/cm3. As for the density of states at the Fermi level: 0.0 states/eV per cell. The calculation puts the magnetization at 0.0 μB/f.u. The total energy comes out at -7.804 eV/atom.

POSCAR file:
```
BaLa2PtO5
1.0
5.8992 0.0000 0.0000
0.0000 6.8499 0.0000
0.0000 0.0000 6.8499
O Ba Pt La
10 2 2 4
direct
0.2469 0.1419 0.6419
0.5000 0.5000 0.5000
0.7531 0.3581 0.1419
0.2469 0.3581 0.1419
0.2469 0.6419 0.8581
0.7531 0.6419 0.8581
0.7531 0.1419 0.6419
0.5000 0.0000 0.0000
0.2469 0.8581 0.3581
0.7531 0.8581 0.3581
0.0000 0.5000 0.5000
0.0000 0.0000 0.0000
0.0000 0.5000 0.0000
0.0000 0.0000 0.5000
0.5000 0.8248 0.6752
0.5000 0.1752 0.3248
0.5000 0.6752 0.1752
0.5000 0.3248 0.8248
```

Record 5
## Rb2BaLaO (PBEsol)

Data for Rb2BaLaO after structural relaxation.

Results
Its space group is No. 123. The formation energy (no corrections) comes out at -0.2514 eV per atom. For the density, the calculation gives 3.961 g/cm3. As for the density of states at the Fermi level: 6.5 states/eV per cell. The calculation puts the magnetization at 2.0 μB/f.u. The total energy comes out at -3.210 eV/atom.

POSCAR file:
```
Rb2BaLaO
1.0
-1.3576 -4.8331 -1.0966
5.1441 -2.0503 2.6679
-2.9468 -0.3929 5.3801
O Rb La Ba
1 2 1 1
direct
0.0000 0.0000 0.0000
0.0000 0.0000 0.5000
0.0000 0.5000 0.0000
0.5000 0.5000 0.5000
0.5000 0.0000 0.0000
```

Record 6
## Ba3LaRu2O9 (PBEsol)

Data for Ba3LaRu2O9 after structural relaxation.

Results
Its space group is No. 194. The formation energy (no corrections) comes out at -2.2236 eV per atom. For the density, the calculation gives 6.600 g/cm3. As for the density of states at the Fermi level: 11.0 states/eV per cell. The calculation puts the magnetization at 3.0 μB/f.u. The total energy comes out at -7.516 eV/atom.

POSCAR file:
```
Ba3LaRu2O9
1.0
5.9185 0.0000 0.0000
-2.9592 5.1256 0.0000
0.0000 0.0000 14.8792
O Ba Ru La
18 6 4 2
direct
0.1789 0.8211 0.4046
0.6421 0.8211 0.0954
0.5077 0.0155 0.7500
0.3579 0.1789 0.9046
0.6421 0.8211 0.4046
0.3579 0.1789 0.5954
0.8211 0.6421 0.9046
0.0155 0.5077 0.2500
0.1789 0.3579 0.0954
0.8211 0.1789 0.5954
0.8211 0.1789 0.9046
0.9845 0.4923 0.7500
0.8211 0.6421 0.5954
0.1789 0.8211 0.0954
0.1789 0.3579 0.4046
0.5077 0.4923 0.7500
0.4923 0.9845 0.2500
0.4923 0.5077 0.2500
0.6667 0.3333 0.1069
0.3333 0.6667 0.8931
0.0000 0.0000 0.2500
0.0000 0.0000 0.7500
0.3333 0.6667 0.6069
0.6667 0.3333 0.3931
0.3333 0.6667 0.1680
0.6667 0.3333 0.6680
0.3333 0.6667 0.3320
0.6667 0.3333 0.8320
0.0000 0.0000 0.0000
0.0000 0.0000 0.5000
```

Record 7
## BaLaZnRuO6 (PBEsol)

Data for BaLaZnRuO6 after structural relaxation.

Results
Its space group is No. 8. The formation energy (no corrections) comes out at -2.1083 eV per atom. For the density, the calculation gives 7.071 g/cm3. As for the density of states at the Fermi level: 0.0 states/eV per cell. The calculation puts the magnetization at 3.0 μB/f.u. The total energy comes out at -7.183 eV/atom.

POSCAR file:
```
BaLaZnRuO6
1.0
-3.8461 -2.4483 -3.2695
5.0532 -2.3620 0.6033
-0.7290 0.0142 5.5928
Zn O La Ru Ba
1 6 1 1 1
direct
0.9967 0.0027 0.9995
0.0256 0.2323 0.7175
0.0330 0.7938 0.3105
0.9126 0.2585 0.1717
0.4852 0.6915 0.7172
0.5168 0.2777 0.3112
0.0445 0.7428 0.7857
0.4861 0.2504 0.7370
0.0004 0.5007 0.5011
0.4990 0.7497 0.2488
```

Record 8
## BaLa2Sc2O7 (PBEsol)

Data for BaLa2Sc2O7 after structural relaxation.

Results
Its space group is No. 136. The formation energy (no corrections) comes out at -3.4370 eV per atom. For the density, the calculation gives 5.942 g/cm3. As for the density of states at the Fermi level: 0.0 states/eV per cell. The calculation puts the magnetization at 0.0 μB/f.u. The total energy comes out at -8.670 eV/atom.

POSCAR file:
```
BaLa2Sc2O7
1.0
-0.8549 -2.5090 -5.1590
1.5958 -5.1141 2.2227
-19.4799 -3.8594 5.1052
La O Sc Ba
8 28 8 4
direct
0.7285 0.7285 0.1839
0.2285 0.7715 0.3161
0.2715 0.2715 0.8161
0.7285 0.7285 0.8161
0.2715 0.2715 0.1839
0.7715 0.2285 0.3161
0.2285 0.7715 0.6839
0.7715 0.2285 0.6839
0.0000 0.5000 0.8892
0.0000 0.0000 0.5941
0.0000 0.0000 0.1258
0.5000 0.0000 0.1108
0.0000 0.5000 0.6108
0.5000 0.5000 0.3742
0.7826 0.2174 0.0000
0.1917 0.1917 0.2918
0.8083 0.8083 0.7082
0.3083 0.6917 0.7918
0.5000 0.5000 0.0941
0.2174 0.7826 0.0000
0.0000 0.5000 0.3892
0.2826 0.2826 0.5000
0.3083 0.6917 0.2082
0.7174 0.7174 0.5000
0.0000 0.0000 0.8742
0.0000 0.0000 0.4059
0.5000 0.0000 0.3892
0.5000 0.0000 0.8892
0.8083 0.8083 0.2918
0.6917 0.3083 0.7918
0.5000 0.0000 0.6108
0.6917 0.3083 0.2082
0.1917 0.1917 0.7082
0.5000 0.5000 0.9059
0.5000 0.5000 0.6258
0.0000 0.5000 0.1108
0.2435 0.7565 0.9002
0.2565 0.2565 0.4002
0.2565 0.2565 0.5998
0.7435 0.7435 0.5998
0.2435 0.7565 0.0998
0.7435 0.7435 0.4002
0.7565 0.2435 0.0998
0.7565 0.2435 0.9002
0.2413 0.7587 0.5000
0.2587 0.2587 0.0000
0.7587 0.2413 0.5000
0.7413 0.7413 0.0000
```